Entry from the Alexandria database: FeTe2Cl after structural relaxation (PBE-GGA).

Values from the calculation:
ΔE_f (raw): 526 meV per atom
size of the total moment: 0.71 μB/atom
symmetry: P4/mmm, No. 123
crystal system: tetragonal

Lattice parameters (Å, degrees): 5.359 5.359 3.109 90.00 90.00 90.00
Each line ends with the local moment (μB).
Fractional coordinates of all 4 atoms:
Te: 0.000 0.000 0.000  -0.05
Te: 0.500 0.500 0.000  -0.05
Fe: 0.000 0.500 0.500  2.98
Cl: 0.500 0.000 0.500  -0.05

=====

Entry from the Alexandria database: Fe3TeCl after structural relaxation (PBE-GGA).

Values from the calculation:
ΔE_f (raw): 737 meV per atom
size of the total moment: 1.77 μB/atom
symmetry: Pm-3m, No. 221
crystal system: cubic

Lattice parameters (Å, degrees): 4.413 4.413 4.413 90.00 90.00 90.00
Each line ends with the local moment (μB).
Fractional coordinates of all 5 atoms:
Te: 0.500 0.500 0.500  0.24
Fe: 0.000 0.500 0.000  2.84
Fe: 0.000 0.000 0.500  2.46
Fe: 0.500 0.000 0.000  3.10
Cl: 0.000 0.000 0.000  0.11

=====

Entry from the Alexandria database: FeTe2Cl after structural relaxation (PBE-GGA).

Values from the calculation:
ΔE_f (raw): -149 meV per atom
size of the total moment: 0.41 μB/atom
symmetry: C2/m, No. 12
crystal system: monoclinic

Lattice parameters (Å, degrees): 3.977 3.977 7.643 90.58 90.58 54.12
Each line ends with the local moment (μB).
Fractional coordinates of all 4 atoms:
Te: 0.930 0.930 0.076  -0.03
Te: 0.570 0.570 0.424  -0.03
Fe: 0.250 0.250 0.250  1.66
Cl: 0.750 0.750 0.750  0.02